VASP calculation (PBE) on a relaxed ZrIr3S crystal. Values from VASP.

The structure in Quantum ESPRESSO input format:
```
&SYSTEM
  ibrav = 0, nat = 5, ntyp = 3
/
ATOMIC_SPECIES
Zr 91.22 Zr.upf
Ir 192.22 Ir.upf
S 32.06 S.upf
ATOMIC_POSITIONS crystal
Zr 0.000 0.000 0.000
Ir 0.000 0.500 0.500
Ir 0.500 0.000 0.500
Ir 0.500 0.500 0.000
S 0.500 0.500 0.500
CELL_PARAMETERS angstrom
4.445 0.000 0.000
0.000 4.445 0.000
0.000 0.000 4.445
```

Calculated values
space group: No. 221
polymorph energy (0 for the lowest one): 0 meV/atom
energy relative to the elements, uncorrected: 6.55 kcal/mol of atoms